(1)
! Pm4Sm3Sn4 (PBE, optimized geometry); values from VASP
! energy of formation from the pure elements: -6.133 eV per formula unit
! Fermi-level density of states: 0.886 states/eV per atom
! VASP energy: -5.03 eV/atom
! M_tot: 0.00 μB/cell
&SYSTEM
  ibrav = 0, nat = 11, ntyp = 3
/
ATOMIC_SPECIES
Pm 145.00 Pm.upf
Sm 150.36 Sm.upf
Sn 118.71 Sn.upf
ATOMIC_POSITIONS angstrom
Pm 1.817 -3.131 6.398
Pm 0.000 1.730 3.147
Pm 1.817 3.131 6.398
Pm 0.000 7.992 3.147
Sm 1.817 0.000 0.000
Sm 0.000 0.000 7.807
Sm 0.000 0.000 11.282
Sn 1.817 0.000 5.230
Sn 0.000 2.692 0.000
Sn 0.000 7.030 0.000
Sn 0.000 4.861 4.314
CELL_PARAMETERS angstrom
-1.817 4.861 9.545
1.817 -4.861 9.545
1.817 4.861 -9.545

---

(2)
! Cs3CrSe3 (PBE, optimized geometry); values from VASP
! E_form (uncorrected): -0.94 eV per atom
! Fermi-level density of states: 0.112 states/eV per atom
! VASP energy: -4.18 eV/atom
! M_tot: 12.00 μB/cell
&SYSTEM
  ibrav = 0, nat = 28, ntyp = 3
/
ATOMIC_SPECIES
Cs 132.91 Cs.upf
Cr 52.00 Cr.upf
Se 78.96 Se.upf
ATOMIC_POSITIONS angstrom
Cs 0.495 1.220 1.873
Cs -0.676 3.042 8.820
Cs 1.249 6.142 10.949
Cs 2.419 6.642 4.003
Cs 1.717 1.990 12.792
Cs 2.888 2.272 5.846
Cs 4.571 6.251 8.046
Cs 5.742 6.533 1.100
Cs 5.039 1.880 9.890
Cs 6.210 2.381 2.944
Cs 8.134 5.481 5.073
Cs 6.964 7.303 12.019
Cr 1.398 4.862 0.585
Cr 0.228 7.922 7.531
Cr 7.231 0.601 6.361
Cr 6.060 3.661 13.308
Se -0.306 0.530 5.414
Se -1.476 3.731 12.361
Se 1.137 5.704 7.247
Se 2.308 7.080 0.301
Se 1.886 0.491 8.902
Se 3.057 3.771 1.956
Se 4.402 4.752 11.937
Se 5.573 8.032 4.991
Se 5.151 1.442 13.591
Se 6.321 2.819 6.645
Se 8.935 4.792 1.532
Se 7.764 7.992 8.478
CELL_PARAMETERS angstrom
9.800 0.000 0.000
0.000 8.523 0.000
-2.341 0.000 13.892

---

(3)
! LiCBr3 (PBE, optimized geometry); values from VASP
! E_form (uncorrected): 0.46 eV per atom
! Fermi-level density of states: 0.000 states/eV per atom
! VASP energy: -2.77 eV/atom
! M_tot: 0.00 μB/cell
&SYSTEM
  ibrav = 0, nat = 5, ntyp = 3
/
ATOMIC_SPECIES
Li 6.94 Li.upf
C 12.01 C.upf
Br 79.90 Br.upf
ATOMIC_POSITIONS angstrom
Li 0.000 0.000 0.000
C 2.407 2.407 2.407
Br 0.000 2.407 2.407
Br 2.407 0.000 2.407
Br 2.407 2.407 0.000
CELL_PARAMETERS angstrom
4.814 0.000 0.000
0.000 4.814 0.000
0.000 0.000 4.814

---

(4)
! SrCl3 (PBE, optimized geometry); values from VASP
! E_form (uncorrected): -1.62 eV per atom
! Fermi-level density of states: 0.161 states/eV per atom
! VASP energy: -3.42 eV/atom
! M_tot: 1.00 μB/cell
&SYSTEM
  ibrav = 0, nat = 4, ntyp = 2
/
ATOMIC_SPECIES
Sr 87.62 Sr.upf
Cl 35.45 Cl.upf
ATOMIC_POSITIONS angstrom
Sr 0.000 0.000 0.000
Cl 2.159 -1.377 1.635
Cl 2.159 1.377 1.635
Cl 0.000 4.049 1.663
CELL_PARAMETERS angstrom
-2.159 4.049 3.554
2.159 -4.049 3.554
2.159 4.049 -3.554

---

(5)
! BaSr2P (PBE, optimized geometry); values from VASP
! energy of formation from the pure elements: -2.170 eV per formula unit
! Fermi-level density of states: 0.671 states/eV per atom
! VASP energy: -3.22 eV/atom
! M_tot: 0.52 μB/cell
&SYSTEM
  ibrav = 0, nat = 4, ntyp = 3
/
ATOMIC_SPECIES
Ba 137.33 Ba.upf
Sr 87.62 Sr.upf
P 30.97 P.upf
ATOMIC_POSITIONS angstrom
Ba 0.000 0.000 0.000
Sr 0.000 0.000 5.084
Sr 2.164 0.000 10.324
P 2.164 0.000 7.287
CELL_PARAMETERS angstrom
4.328 0.000 0.000
0.000 2.545 7.867
0.000 -2.545 7.867

---

(6)
! PrSm2ScTe4 (PBE, optimized geometry); values from VASP
! E_form (uncorrected): -1.30 eV per atom
! Fermi-level density of states: 0.659 states/eV per atom
! VASP energy: -5.44 eV/atom
! M_tot: 0.00 μB/cell
&SYSTEM
  ibrav = 0, nat = 8, ntyp = 4
/
ATOMIC_SPECIES
Pr 140.91 Pr.upf
Sm 150.36 Sm.upf
Sc 44.96 Sc.upf
Te 127.60 Te.upf
ATOMIC_POSITIONS angstrom
Pr 0.000 0.000 0.000
Sm 2.561 0.000 3.644
Sm 3.810 2.180 0.000
Sc -1.249 2.180 3.644
Te -0.023 0.000 5.342
Te 1.227 2.180 1.909
Te 3.895 2.180 5.378
Te 5.144 0.000 1.945
CELL_PARAMETERS angstrom
7.620 0.000 0.000
0.000 4.360 0.000
-2.498 0.000 7.287

---

(7)
! TbHfSc2 (PBE, optimized geometry); values from VASP
! energy of formation from the pure elements: 0.306 eV per formula unit
! Fermi-level density of states: 1.432 states/eV per atom
! VASP energy: -6.74 eV/atom
! M_tot: 0.00 μB/cell
&SYSTEM
  ibrav = 0, nat = 4, ntyp = 3
/
ATOMIC_SPECIES
Tb 158.93 Tb.upf
Hf 178.49 Hf.upf
Sc 44.96 Sc.upf
ATOMIC_POSITIONS angstrom
Tb 0.000 0.000 0.000
Hf 0.000 0.000 16.129
Sc 0.000 0.000 7.887
Sc 0.000 0.000 24.371
CELL_PARAMETERS angstrom
1.648 0.952 10.753
-1.648 0.952 10.753
0.000 -1.903 10.753